{"formula": "NaLa3Ir", "functional": "PBE", "state": "optimized geometry", "rho_g_cm3": 5.86, "formation_enthalpy_0k_mev_per_atom": -312, "sg": "P-1, No. 2", "total_energy_ry_per_atom": -0.3899, "lattice_angstrom": [[-2.435, 1.539, 3.079], [-8.823, 2.787, -2.591], [-3.701, -8.997, 1.572]], "species": ["La", "Ir", "La", "Ir", "La", "La", "La", "La", "Na", "Na"], "fractional_positions": [[0.266, 0.039, 0.943], [0.273, 0.033, 0.663], [0.077, 0.729, 0.115], [0.070, 0.735, 0.395], [0.787, 0.518, 0.408], [0.555, 0.250, 0.649], [0.333, 0.972, 0.373], [0.010, 0.796, 0.684], [0.826, 0.480, 0.895], [0.517, 0.288, 0.163]]}